Record 1
VASP calculation (GGA-PBE) on an optimized crystal structure of LiTmHfRe.

Results
symmetry	F-43m (216)
formation energy	-80	meV per atom
volume	75.2	Å³/cell
total magnetization	0.000	μB/atom
final energy	-7.28	eV per atom

Cell: 4.738 4.738 4.738 Å, 60.00 60.00 60.00°
Element x y z (fractional)
Re 0.500 0.500 0.500
Tm 0.750 0.750 0.750
Hf 0.250 0.250 0.250
Li 0.000 0.000 0.000

=====

Record 2
VASP calculation (GGA-PBE) on an optimized crystal structure of LiYHfRe.

Results
symmetry	F-43m (216)
formation energy	-19	meV per atom
volume	77.1	Å³/cell
total magnetization	0.000	μB/atom
final energy	-7.71	eV per atom

Cell: 4.778 4.778 4.778 Å, 60.00 60.00 60.00°
Element x y z (fractional)
Y 0.000 0.000 0.000
Re 0.250 0.250 0.250
Hf 0.500 0.500 0.500
Li 0.750 0.750 0.750

=====

Record 3
VASP calculation (GGA-PBE) on an optimized crystal structure of LiHf3Rh.

Results
symmetry	Pm-3m (221)
energy relative to the lowest polymorph listed for this composition	0.000	eV/atom
formation energy	363	meV per atom
volume	126.4	Å³/cell
total magnetization	0.203	μB/atom
final energy	-7.46	eV per atom

Cell: 5.019 5.019 5.019 Å, 90.00 90.00 90.00°
Site moments in Bohr magnetons follow the coordinates.
Element x y z (fractional)
Rh 0.000 0.000 0.000  0.00
Hf 0.000 0.500 0.000  0.15
Hf 0.000 0.000 0.500  0.10
Hf 0.500 0.000 0.000  0.28
Li 0.500 0.500 0.500  0.01

=====

Record 4
VASP calculation (GGA-PBE) on an optimized crystal structure of LiHf2Rh2.

Results
symmetry	P4/mbm (127)
energy relative to the lowest polymorph listed for this composition	0.000	eV/atom
formation energy	-617	meV per atom
volume	182.9	Å³/cell
total magnetization	0.000	μB/atom
final energy	-7.92	eV per atom

Cell: 7.642 7.642 3.133 Å, 90.00 90.00 90.00°
Element x y z (fractional)
Rh 0.359 0.859 0.000
Rh 0.859 0.641 0.000
Rh 0.641 0.141 0.000
Rh 0.141 0.359 0.000
Hf 0.154 0.654 0.500
Hf 0.654 0.846 0.500
Hf 0.846 0.346 0.500
Hf 0.346 0.154 0.500
Li 0.000 0.000 0.000
Li 0.500 0.500 0.000

=====

Record 5
VASP calculation (GGA-PBE) on an optimized crystal structure of LiHfRh2.

Results
symmetry	P4/mmm (123)
energy relative to the lowest polymorph listed for this composition	0.049	eV/atom
formation energy	-684	meV per atom
volume	60.5	Å³/cell
total magnetization	0.000	μB/atom
final energy	-7.33	eV per atom

Cell: 3.267 4.302 4.302 Å, 90.00 90.00 90.00°
Element x y z (fractional)
Rh 0.000 0.000 0.500
Rh 0.000 0.500 0.000
Hf 0.500 0.000 0.000
Li 0.500 0.500 0.500

=====

Record 6
VASP calculation (GGA-PBE) on an optimized crystal structure of LiHf3Rh4.

Results
symmetry	P4/mmm (123)
formation energy	-822	meV per atom
volume	131.5	Å³/cell
total magnetization	0.000	μB/atom
final energy	-8.47	eV per atom

Cell: 3.286 3.286 12.181 Å, 90.00 90.00 90.00°
Element x y z (fractional)
Rh 0.000 0.000 0.882
Rh 0.000 0.000 0.118
Rh 0.000 0.000 0.372
Rh 0.000 0.000 0.628
Hf 0.500 0.500 0.231
Hf 0.500 0.500 0.500
Hf 0.500 0.500 0.769
Li 0.500 0.500 0.000

=====

Record 7
VASP calculation (GGA-PBE) on an optimized crystal structure of LiHf2Rh4.

Results
symmetry	P4/mmm (123)
formation energy	-585	meV per atom
volume	116.6	Å³/cell
total magnetization	0.000	μB/atom
final energy	-7.90	eV per atom

Cell: 4.347 4.347 6.173 Å, 90.00 90.00 90.00°
Element x y z (fractional)
Li 0.500 0.500 0.000
Hf 0.000 0.000 0.000
Hf 0.500 0.500 0.500
Rh 0.500 0.000 0.253
Rh 0.000 0.500 0.747
Rh 0.500 0.000 0.747
Rh 0.000 0.500 0.253

=====

Record 8
VASP calculation (GGA-PBE) on an optimized crystal structure of LiHfRh4.

Results
symmetry	F-43m (216)
formation energy	-395	meV per atom
volume	95.8	Å³/cell
total magnetization	0.000	μB/atom
final energy	-7.27	eV per atom

Cell: 5.136 5.136 5.136 Å, 60.00 60.00 60.00°
Element x y z (fractional)
Rh 0.625 0.625 0.124
Rh 0.625 0.124 0.625
Rh 0.625 0.625 0.625
Rh 0.124 0.625 0.625
Hf 0.250 0.250 0.250
Li 0.000 0.000 0.000